1.
A relaxed LaPr14Sm crystal. Source: the Alexandria database, functional GGA-PBE.

It has space group Amm2 (No. 38), with a = 10.528 Å, b = 10.484 Å, c = 10.487 Å, α = 90.00°, β = 90.00° and γ = 90.00°. Symmetry generates all atoms from La at (0.000, 0.000, 0.000), Pr at (0.000, 0.250, 0.250), Pr at (0.250, 0.000, 0.251), Pr at (0.250, 0.000, 0.749), Pr at (0.250, 0.249, 0.500), Pr at (0.500, 0.000, 0.000), Pr at (0.500, 0.000, 0.500), Pr at (0.500, 0.250, 0.250) and Sm at (0.000, 0.000, 0.501).

The total DFT energy (no corrections) comes out at -4.77 eV per atom. As for the total magnetization: 0.000 μB per atom. For the formation enthalpy at 0 K, the calculation gives 11 meV per atom.

2.
A relaxed PrUSn6 crystal. Source: the Alexandria database, functional GGA-PBE.

It has space group P4/mmm (No. 123), with a = 4.703 Å, b = 4.703 Å, c = 9.452 Å, α = 90.00°, β = 90.00° and γ = 90.00°. Symmetry generates all atoms from Pr at (0.000, 0.000, 0.000), U at (0.000, 0.000, 0.500), Sn at (0.000, 0.500, 0.258), Sn at (0.500, 0.500, 0.000) and Sn at (0.500, 0.500, 0.500).

The total DFT energy (no corrections) comes out at -5.33 eV per atom. As for the total magnetization: 0.312 μB per atom. For the formation enthalpy at 0 K, the calculation gives -317 meV per atom.

3.
A relaxed SrHfGa2Rh crystal. Source: the Alexandria database, functional GGA-PBE.

It has space group P4/mmm (No. 123), with a = 5.273 Å, b = 5.273 Å, c = 4.824 Å, α = 90.00°, β = 90.00° and γ = 90.00°. Symmetry generates all atoms from Sr at (0.000, 0.000, 0.000), Hf at (0.500, 0.500, 0.500), Ga at (0.000, 0.500, 0.500) and Rh at (0.500, 0.500, 0.000).

The total DFT energy (no corrections) comes out at -4.96 eV per atom. As for the total magnetization: 0.000 μB per atom. For the formation enthalpy at 0 K, the calculation gives 52 meV per atom.

> Which of these has the lowest formation enthalpy at 0 K?

PrUSn6

> The highest total DFT energy (no corrections) belongs to which entry?

LaPr14Sm

> What is the formation enthalpy at 0 K in the first record?

11 meV per atom